No. 1
Computed, not measured: MgNb2H at its PBEsol-relaxed geometry at the meta-GGA SCAN level of DFT.

Structure (POSCAR):
```
MgNb2H
1.0
0.000 4.085 4.085
4.085 0.000 4.085
4.085 4.085 0.000
Mg Nb H
2 4 2
direct
0.125 0.125 0.125
0.875 0.875 0.875
0.000 0.500 0.500
0.500 0.000 0.500
0.500 0.500 0.000
0.500 0.500 0.500
0.375 0.375 0.375
0.625 0.625 0.625
```

## Properties
space-group type: No. 227
relative energy among the computed polymorphs: 0.00 kcal/mol of atoms
theoretical density: 5.1 Mg/m³
final energy: -18.38 eV/atom

No. 2
Computed, not measured: Mg3NiH at its PBEsol-relaxed geometry at the meta-GGA SCAN level of DFT.

Structure (POSCAR):
```
Mg3NiH
1.0
4.747 0.000 0.000
0.000 4.747 0.000
0.000 0.000 4.747
Mg Ni H
3 1 1
direct
0.000 0.000 0.500
0.000 0.500 0.000
0.500 0.000 0.000
0.000 0.000 0.000
0.500 0.500 0.500
```

## Properties
space-group type: No. 221
relative energy among the computed polymorphs: 12.80 kcal/mol of atoms
theoretical density: 2.1 Mg/m³
final energy: -6.36 eV/atom

No. 3
Computed, not measured: Mg3NiH at its PBEsol-relaxed geometry at the meta-GGA SCAN level of DFT.

Structure (POSCAR):
```
Mg3NiH
1.0
4.108 0.000 0.000
0.000 4.108 0.000
0.000 0.000 4.108
Mg Ni H
3 1 1
direct
0.000 0.000 0.500
0.000 0.500 0.000
0.500 0.000 0.000
0.500 0.500 0.500
0.000 0.000 0.000
```

## Properties
space-group type: No. 221
relative energy among the computed polymorphs: 0.00 kcal/mol of atoms
theoretical density: 3.2 Mg/m³
final energy: -6.91 eV/atom

No. 4
Computed, not measured: Mg2NiH4 at its PBEsol-relaxed geometry at the meta-GGA SCAN level of DFT.

Structure (POSCAR):
```
Mg2NiH4
1.0
7.028 -3.163 0.000
7.028 3.163 0.000
-2.491 0.000 5.880
Mg Ni H
8 4 16
direct
0.016 0.984 0.750
0.225 0.250 0.921
0.250 0.225 0.421
0.483 0.517 0.250
0.517 0.483 0.750
0.750 0.775 0.579
0.775 0.750 0.079
0.984 0.016 0.250
0.112 0.650 0.918
0.350 0.888 0.582
0.650 0.112 0.418
0.888 0.350 0.082
0.100 0.485 0.696
0.112 0.137 0.580
0.137 0.112 0.080
0.171 0.554 0.128
0.277 0.712 0.960
0.288 0.723 0.540
0.446 0.829 0.372
0.485 0.100 0.196
0.515 0.900 0.804
0.554 0.171 0.628
0.712 0.277 0.460
0.723 0.288 0.040
0.829 0.446 0.872
0.863 0.888 0.920
0.888 0.863 0.420
0.900 0.515 0.304
```

## Properties
space-group type: No. 15
relative energy among the computed polymorphs: 0.00 kcal/mol of atoms
theoretical density: 2.8 Mg/m³
final energy: -6.02 eV/atom

No. 5
Computed, not measured: Mg2NiH4 at its PBEsol-relaxed geometry at the meta-GGA SCAN level of DFT.

Structure (POSCAR):
```
Mg2NiH4
1.0
6.301 0.000 0.000
0.000 12.956 0.000
0.000 0.000 6.388
Mg Ni H
16 8 32
direct
0.238 0.013 0.070
0.238 0.487 0.570
0.250 0.250 0.056
0.250 0.250 0.556
0.250 0.750 0.468
0.250 0.750 0.968
0.262 0.013 0.570
0.262 0.487 0.070
0.738 0.513 0.930
0.738 0.987 0.430
0.750 0.250 0.032
0.750 0.250 0.532
0.750 0.750 0.444
0.750 0.750 0.944
0.762 0.513 0.430
0.762 0.987 0.930
0.018 0.132 0.805
0.018 0.368 0.305
0.482 0.132 0.305
0.482 0.368 0.805
0.518 0.632 0.195
0.518 0.868 0.695
0.982 0.632 0.695
0.982 0.868 0.195
0.029 0.747 0.734
0.029 0.753 0.234
0.059 0.544 0.843
0.059 0.956 0.343
0.061 0.610 0.469
0.061 0.890 0.969
0.237 0.126 0.315
0.237 0.374 0.815
0.263 0.126 0.815
0.263 0.374 0.315
0.439 0.610 0.969
0.439 0.890 0.469
0.441 0.544 0.343
0.441 0.956 0.843
0.471 0.747 0.234
0.471 0.753 0.734
0.529 0.247 0.266
0.529 0.253 0.766
0.559 0.044 0.157
0.559 0.456 0.657
0.561 0.110 0.531
0.561 0.390 0.031
0.737 0.626 0.685
0.737 0.874 0.185
0.763 0.626 0.185
0.763 0.874 0.685
0.939 0.110 0.031
0.939 0.390 0.531
0.941 0.044 0.657
0.941 0.456 0.157
0.971 0.247 0.766
0.971 0.253 0.266
```

## Properties
space-group type: No. 56
relative energy among the computed polymorphs: 0.11 kcal/mol of atoms
theoretical density: 2.8 Mg/m³
final energy: -6.02 eV/atom

No. 6
Computed, not measured: SrMgNiH4 at its PBEsol-relaxed geometry at the meta-GGA SCAN level of DFT.

Structure (POSCAR):
```
SrMgNiH4
1.0
6.815 0.000 0.000
0.000 6.815 0.000
0.000 0.000 6.815
Sr Mg Ni H
4 4 4 16
direct
0.163 0.337 0.663
0.337 0.663 0.163
0.663 0.163 0.337
0.837 0.837 0.837
0.154 0.154 0.154
0.346 0.846 0.654
0.654 0.346 0.846
0.846 0.654 0.346
0.059 0.941 0.441
0.441 0.059 0.941
0.559 0.559 0.559
0.941 0.441 0.059
0.041 0.420 0.268
0.075 0.575 0.925
0.080 0.732 0.541
0.232 0.959 0.920
0.268 0.041 0.420
0.420 0.268 0.041
0.425 0.425 0.425
0.459 0.580 0.768
0.541 0.080 0.732
0.575 0.925 0.075
0.580 0.768 0.459
0.732 0.541 0.080
0.768 0.459 0.580
0.920 0.232 0.959
0.925 0.075 0.575
0.959 0.920 0.232
```

## Properties
space-group type: No. 198
theoretical density: 3.7 Mg/m³
final energy: -8.69 eV/atom

No. 7
Computed, not measured: Mg5H2O6 at its PBEsol-relaxed geometry at the meta-GGA SCAN level of DFT.

Structure (POSCAR):
```
Mg5H2O6
1.0
3.017 0.000 0.000
-1.508 2.613 0.000
0.000 0.000 14.559
Mg H O
5 2 6
direct
0.000 0.000 0.000
0.333 0.667 0.167
0.333 0.667 0.666
0.667 0.333 0.334
0.667 0.333 0.833
0.333 0.667 0.474
0.667 0.333 0.526
0.000 0.000 0.250
0.000 0.000 0.750
0.333 0.667 0.407
0.333 0.667 0.917
0.667 0.333 0.083
0.667 0.333 0.593
```

## Properties
space-group type: No. 164
theoretical density: 3.2 Mg/m³
final energy: -7.89 eV/atom

No. 8
Computed, not measured: Mg7P6H4O24 at its PBEsol-relaxed geometry at the meta-GGA SCAN level of DFT.

Structure (POSCAR):
```
Mg7P6H4O24
1.0
6.435 0.000 0.000
-1.550 7.691 0.000
-3.006 -3.046 8.433
Mg P H O
7 6 4 24
direct
0.000 0.000 0.000
0.052 0.714 0.515
0.278 0.811 0.285
0.385 0.458 0.110
0.615 0.542 0.890
0.722 0.189 0.715
0.948 0.286 0.485
0.089 0.580 0.827
0.226 0.145 0.778
0.411 0.235 0.374
0.589 0.765 0.626
0.774 0.855 0.222
0.911 0.420 0.173
0.173 0.870 0.812
0.374 0.432 0.568
0.626 0.568 0.432
0.827 0.130 0.188
0.018 0.176 0.663
0.058 0.545 0.652
0.112 0.788 0.903
0.125 0.539 0.164
0.199 0.932 0.722
0.220 0.189 0.945
0.261 0.053 0.240
0.271 0.303 0.478
0.307 0.537 0.914
0.379 0.790 0.508
0.453 0.244 0.772
0.481 0.390 0.312
0.519 0.610 0.688
0.547 0.756 0.228
0.621 0.210 0.492
0.693 0.463 0.086
0.729 0.697 0.522
0.739 0.947 0.760
0.780 0.811 0.055
0.801 0.068 0.278
0.875 0.461 0.836
0.888 0.212 0.097
0.942 0.455 0.348
0.982 0.824 0.337
```

## Properties
space-group type: No. 2
theoretical density: 3.0 Mg/m³
final energy: -8.97 eV/atom